--- one ---
Material: MgBeTc2
Method: DFT, GGA-PBEsol
State: relaxed

Properties
Total moment in μB/f.u.: 0.00

Cell lengths 4.210, 4.210, 4.210 Å; angles 60.00, 60.00, 60.00 degrees
Fractional coordinates of all 4 atoms:
Be 0.250 0.250 0.250
Mg 0.500 0.500 0.500
Tc 0.750 0.750 0.750
Tc 0.000 0.000 0.000


--- two ---
Material: MgBeTc2
Method: DFT, GGA-PBEsol
State: relaxed

Properties
Total moment in μB/f.u.: 0.00

Cell lengths 2.710, 2.710, 8.673 Å; angles 81.01, 81.01, 60.00 degrees
Fractional coordinates of all 4 atoms:
Be 0.500 0.500 0.500
Mg 0.000 0.000 0.000
Tc 0.242 0.242 0.274
Tc 0.758 0.758 0.726


Stability summary: most stable one, least stable two.


--- one ---
Material: MgBe2Tc
Method: DFT, GGA-PBEsol
State: relaxed

Properties
Total moment in μB/f.u.: 0.00

Cell lengths 3.183, 3.828, 3.828 Å; angles 90.00, 90.00, 90.00 degrees
Fractional coordinates of all 4 atoms:
Be 0.000 0.000 0.500
Be 0.000 0.500 0.000
Mg 0.500 0.500 0.500
Tc 0.500 0.000 0.000


--- two ---
Material: MgBe2Tc
Method: DFT, GGA-PBEsol
State: relaxed

Properties
Total moment in μB/f.u.: 0.00

Cell lengths 4.083, 4.083, 4.083 Å; angles 60.00, 60.00, 60.00 degrees
Fractional coordinates of all 4 atoms:
Be 0.000 0.000 0.000
Be 0.250 0.250 0.250
Mg 0.500 0.500 0.500
Tc 0.750 0.750 0.750


Stability summary: most stable one, least stable two.


--- one ---
Material: Y2MgBe
Method: DFT, GGA-PBEsol
State: relaxed

Properties
Total moment in μB/f.u.: 0.01

Cell lengths 3.486, 3.486, 9.473 Å; angles 79.40, 79.40, 60.00 degrees
Fractional coordinates of all 4 atoms:
Y 0.996 0.996 0.014
Y 0.768 0.768 0.696
Be 0.505 0.505 0.485
Mg 0.231 0.231 0.306


--- two ---
Material: Y2MgBe
Method: DFT, GGA-PBEsol
State: relaxed

Properties
Total moment in μB/f.u.: 0.00

Cell lengths 3.430, 3.430, 7.771 Å; angles 90.00, 90.00, 90.00 degrees
Fractional coordinates of all 4 atoms:
Y 0.000 0.000 0.793
Y 0.000 0.000 0.207
Be 0.500 0.500 0.000
Mg 0.500 0.500 0.500


Stability summary: most stable two, least stable one.


--- one ---
Material: YMgBe
Method: DFT, GGA-PBEsol
State: relaxed

Properties
Total moment in μB/f.u.: 0.00

Cell lengths 4.726, 4.726, 4.726 Å; angles 60.00, 60.00, 60.00 degrees
Fractional coordinates of all 3 atoms:
Y 0.250 0.250 0.250
Be 0.000 0.000 0.000
Mg 0.500 0.500 0.500


--- two ---
Material: YMgBe
Method: DFT, GGA-PBEsol
State: relaxed

Properties
Total moment in μB/f.u.: 0.00

Cell lengths 4.588, 4.588, 4.588 Å; angles 60.00, 60.00, 60.00 degrees
Fractional coordinates of all 3 atoms:
Y 0.000 0.000 0.000
Be 0.500 0.500 0.500
Mg 0.250 0.250 0.250


--- three ---
Material: YMgBe
Method: DFT, GGA-PBEsol
State: relaxed

Properties
Total moment in μB/f.u.: 0.00

Cell lengths 3.203, 3.203, 6.318 Å; angles 104.68, 104.68, 90.00 degrees
Fractional coordinates of all 3 atoms:
Y 0.644 0.644 0.289
Be 0.993 0.993 0.986
Mg 0.363 0.363 0.725


Stability summary: most stable three, least stable one.


--- one ---
Material: MgZr2Be
Method: DFT, GGA-PBEsol
State: relaxed

Properties
Total moment in μB/f.u.: 0.00

Cell lengths 2.952, 2.952, 8.560 Å; angles 90.00, 90.00, 90.00 degrees
Fractional coordinates of all 4 atoms:
Be 0.500 0.500 0.000
Mg 0.500 0.500 0.500
Zr 0.000 0.000 0.802
Zr 0.000 0.000 0.198


--- two ---
Material: MgZr2Be
Method: DFT, GGA-PBEsol
State: relaxed

Properties
Total moment in μB/f.u.: 0.00

Cell lengths 4.681, 4.681, 4.681 Å; angles 60.00, 60.00, 60.00 degrees
Fractional coordinates of all 4 atoms:
Be 0.000 0.000 0.000
Mg 0.500 0.500 0.500
Zr 0.250 0.250 0.250
Zr 0.750 0.750 0.750


--- three ---
Material: MgZr2Be
Method: DFT, GGA-PBEsol
State: relaxed

Properties
Total moment in μB/f.u.: 0.00

Cell lengths 3.119, 4.910, 5.602 Å; angles 115.99, 106.16, 90.00 degrees
Fractional coordinates of all 4 atoms:
Be 0.493 0.493 0.986
Mg 0.786 0.286 0.573
Zr 0.998 0.998 0.996
Zr 0.222 0.722 0.445


Stability summary: most stable one, least stable two.


--- one ---
Material: MnBeOs
Method: DFT, GGA-PBEsol
State: relaxed

Properties
Total moment in μB/f.u.: 0.00

Cell lengths 2.750, 2.750, 4.652 Å; angles 107.19, 107.19, 90.00 degrees
Fractional coordinates of all 3 atoms:
Be 0.008 0.008 0.015
Mn 0.657 0.657 0.314
Os 0.335 0.335 0.670


--- two ---
Material: MnBeOs
Method: DFT, GGA-PBEsol
State: relaxed

Properties
Total moment in μB/f.u.: 0.57

Cell lengths 2.610, 2.610, 5.840 Å; angles 90.00, 90.00, 120.00 degrees
Fractional coordinates of all 3 atoms:
Be 0.000 0.000 0.992
Mn 0.333 0.667 0.673
Os 0.667 0.333 0.335


Stability summary: most stable one, least stable two.


--- one ---
Material: MnBePb
Method: DFT, GGA-PBEsol
State: relaxed

Properties
Total moment in μB/f.u.: 3.26

Cell lengths 4.253, 4.253, 4.253 Å; angles 60.00, 60.00, 60.00 degrees
Fractional coordinates of all 3 atoms:
Pb 0.000 0.000 0.000
Be 0.500 0.500 0.500
Mn 0.750 0.750 0.750


--- two ---
Material: MnBePb
Method: DFT, GGA-PBEsol
State: relaxed

Properties
Total moment in μB/f.u.: 2.99

Cell lengths 3.603, 3.947, 3.947 Å; angles 120.00, 90.00, 90.00 degrees
Fractional coordinates of all 3 atoms:
Pb 0.305 0.333 0.667
Be 0.914 0.000 0.000
Mn 0.781 0.667 0.333


Stability summary: most stable two, least stable one.